Entry 1:
A plane-wave DFT calculation with PBE was carried out for an optimized crystal structure of La2Pm2Tm5.

a b c (Å): 14.988 11.937 6.720
angles (deg): 90.00 90.00 90.00
Space group Ima2 (No. 46)
One atom of each set of equivalent atoms:
La1 0.000 0.000 0.000
La2 0.250 0.010 0.901
Pm1 0.127 0.505 0.948
Tm1 0.054 0.740 0.302
Tm2 0.141 0.235 0.107
Tm3 0.250 0.745 0.100

Calculated values
Uncorrected energy ... -159.6 eV/cell



Entry 2:
A plane-wave DFT calculation with PBE was carried out for an optimized crystal structure of La6PmTm4.

a b c (Å): 5.864 9.890 26.338
angles (deg): 90.00 90.00 90.00
Space group Cmcm (No. 63)
One atom of each set of equivalent atoms:
La1 0.000 0.000 0.000
La2 0.000 0.029 0.250
La3 0.000 0.317 0.595
La4 0.000 0.357 0.181
Pm1 0.000 0.309 0.750
Tm1 0.000 0.022 0.125
Tm2 0.000 0.341 0.046

Calculated values
Uncorrected energy ... -204.7 eV/cell



Entry 3:
A plane-wave DFT calculation with PBE was carried out for an optimized crystal structure of LaPm6Tm3.

a b c (Å): 9.9152 9.9152 12.0284
angles (deg): 90.00 90.00 120.00
Space group R3 (No. 146, hexagonal axes)
One atom of each set of equivalent atoms:
La1 0.0000 0.0000 0.0000
Pm1 0.9998 0.3318 0.0001
Pm2 0.9996 0.6719 0.5000
Tm1 0.0000 0.0000 0.2553
Tm2 0.0000 0.0000 0.5004
Tm3 0.0000 0.0000 0.7456

Calculated values
Uncorrected energy ... -133.4 eV/cell



Entry 4:
A plane-wave DFT calculation with PBE was carried out for an optimized crystal structure of La2PmTm12.

a b c (Å): 3.549 5.589 24.051
angles (deg): 90.00 94.18 90.00
Space group P2/m (No. 10)
One atom of each set of equivalent atoms:
La1 0.139 0.000 0.281
Pm1 0.500 0.000 0.000
Tm1 0.034 0.500 0.067
Tm2 0.064 0.000 0.135
Tm3 0.223 0.500 0.445
Tm4 0.284 0.000 0.569
Tm5 0.335 0.500 0.669
Tm6 0.407 0.500 0.809

Calculated values
Uncorrected energy ... -66.7 eV/cell



Entry 5:
A plane-wave DFT calculation with PBE was carried out for an optimized crystal structure of La4PmTm4.

a b c (Å): 10.848 10.848 5.137
angles (deg): 90.00 90.00 90.00
Space group I4/mmm (No. 139)
One atom of each set of equivalent atoms:
La1 0.000 0.331 0.000
Pm1 0.000 0.000 0.000
Tm1 0.165 0.165 0.500

Calculated values
Uncorrected energy ... -84.1 eV/cell



Entry 6:
A plane-wave DFT calculation with PBE was carried out for an optimized crystal structure of LaPm4Tm.

a b c (Å): 3.658 5.110 10.978
angles (deg): 90.00 90.00 90.00
Space group Pmmm (No. 47)
One atom of each set of equivalent atoms:
La1 0.000 0.000 0.000
Pm1 0.000 0.000 0.337
Pm2 0.500 0.500 0.172
Tm1 0.500 0.500 0.500

Calculated values
Uncorrected energy ... -28.3 eV/cell



Entry 7:
A plane-wave DFT calculation with PBE was carried out for an optimized crystal structure of La5Pm6Tm2.

a b c (Å): 11.605 21.616 3.658
angles (deg): 90.00 90.00 90.00
Space group Pbam (No. 55)
One atom of each set of equivalent atoms:
La1 0.000 0.000 0.000
La2 0.107 0.263 0.000
La3 0.169 0.548 0.000
Pm1 0.091 0.406 0.500
Pm2 0.109 0.124 0.500
Pm3 0.147 0.850 0.000
Tm1 0.144 0.704 0.500

Calculated values
Uncorrected energy ... -121.8 eV/cell



Entry 8:
A plane-wave DFT calculation with PBE was carried out for an optimized crystal structure of La14PmTm.

a b c (Å): 11.928 11.635 8.319
angles (deg): 90.00 90.00 90.00
Space group Amm2 (No. 38)
One atom of each set of equivalent atoms:
La1 0.000 0.000 0.000
La2 0.000 0.000 0.432
La3 0.000 0.213 0.742
La4 0.247 0.214 0.030
La5 0.253 0.000 0.309
La6 0.261 0.000 0.746
La7 0.500 0.226 0.747
Pm1 0.500 0.000 0.463
Tm1 0.500 0.000 0.038

Calculated values
Uncorrected energy ... -153.9 eV/cell



Entry 9:
A plane-wave DFT calculation with PBE was carried out for an optimized crystal structure of LaPm2Tm.

a b c (Å): 8.197 8.197 8.197
angles (deg): 90.00 90.00 90.00
Space group Fm-3m (No. 225)
One atom of each set of equivalent atoms:
La1 0.000 0.000 0.000
Pm1 0.250 0.250 0.250
Tm1 0.000 0.000 0.500

Calculated values
Uncorrected energy ... -73.2 eV/cell



Entry 10:
A plane-wave DFT calculation with PBE was carried out for an optimized crystal structure of LaPm7Tm3.

a b c (Å): 7.034 11.140 10.214
angles (deg): 90.00 109.62 90.00
Space group P2_1/m (No. 11)
One atom of each set of equivalent atoms:
La1 0.000 0.000 0.000
Pm1 0.091 0.045 0.678
Pm2 0.171 0.750 0.819
Pm3 0.303 0.250 0.108
Pm4 0.369 0.750 0.180
Pm5 0.422 0.016 0.332
Tm1 0.241 0.250 0.474
Tm2 0.268 0.750 0.512
Tm3 0.500 0.000 0.000

Calculated values
Uncorrected energy ... -100.6 eV/cell



Entry 11:
A plane-wave DFT calculation with PBE was carried out for an optimized crystal structure of La9Pm4Tm.

a b c (Å): 10.0728 10.0728 11.6365
angles (deg): 90.00 90.00 120.00
Space group P6_3/mmc (No. 194)
One atom of each set of equivalent atoms:
La1 0.0786 0.5393 0.2500
La2 0.2074 0.4148 0.5301
Pm1 0.0000 0.0000 0.0000
Pm2 0.1126 0.2253 0.2500
Tm1 0.3333 0.6667 0.7500

Calculated values
Uncorrected energy ... -131.6 eV/cell



Entry 12:
A plane-wave DFT calculation with PBE was carried out for an optimized crystal structure of LaPm4Tm5.

a b c (Å): 3.603 3.603 24.939
angles (deg): 90.00 90.00 90.00
Space group P4/mmm (No. 123)
One atom of each set of equivalent atoms:
La1 0.000 0.000 0.000
Pm1 0.000 0.000 0.201
Pm2 0.000 0.000 0.400
Tm1 0.500 0.500 0.102
Tm2 0.500 0.500 0.301
Tm3 0.500 0.500 0.500

Calculated values
Uncorrected energy ... -46.1 eV/cell



Entry 13:
A plane-wave DFT calculation with PBE was carried out for an optimized crystal structure of LaPmTm6.

a b c (Å): 7.563 11.589 5.780
angles (deg): 90.00 90.00 90.00
Space group Cmmm (No. 65)
One atom of each set of equivalent atoms:
La1 0.000 0.000 0.000
Pm1 0.000 0.500 0.000
Tm1 0.000 0.247 0.500
Tm2 0.243 0.500 0.500
Tm3 0.250 0.250 0.000

Calculated values
Uncorrected energy ... -71.1 eV/cell



Entry 14:
A plane-wave DFT calculation with PBE was carried out for an optimized crystal structure of La3PmTm2.

a b c (Å): 3.495 6.005 19.788
angles (deg): 90.00 90.00 90.00
Space group Immm (No. 71)
One atom of each set of equivalent atoms:
La1 0.000 0.000 0.000
La2 0.000 0.500 0.189
Pm1 0.000 0.500 0.000
Tm1 0.000 0.500 0.362

Calculated values
Uncorrected energy ... -53.3 eV/cell



Entry 15:
A plane-wave DFT calculation with PBE was carried out for an optimized crystal structure of La3Pm2Tm2.

a b c (Å): 17.876 3.543 8.659
angles (deg): 90.00 118.69 90.00
Space group C2/m (No. 12)
One atom of each set of equivalent atoms:
La1 0.000 0.000 0.000
La2 0.214 0.000 0.291
Pm1 0.065 0.500 0.413
Tm1 0.144 0.000 0.828

Calculated values
Uncorrected energy ... -64.8 eV/cell



Entry 16:
A plane-wave DFT calculation with PBE was carried out for an optimized crystal structure of La12PmTm7.

a b c (Å): 12.4342 12.4342 15.4620
angles (deg): 90.00 90.00 120.00
Space group R-3 (No. 148, hexagonal axes)
One atom of each set of equivalent atoms:
La1 0.0123 0.5737 0.2210
La2 0.0659 0.4691 0.5785
Pm1 0.0000 0.0000 0.5000
Tm1 0.0000 0.0000 0.0000
Tm2 0.0506 0.8674 0.3074

Calculated values
Uncorrected energy ... -273.9 eV/cell



Entry 17:
A plane-wave DFT calculation with PBE was carried out for an optimized crystal structure of La12Pm7Tm.

a b c (Å): 12.5987 12.5987 15.5872
angles (deg): 90.00 90.00 120.00
Space group R-3 (No. 148, hexagonal axes)
One atom of each set of equivalent atoms:
La1 0.0205 0.4427 0.2227
La2 0.0667 0.5934 0.5771
Pm1 0.0000 0.0000 0.0000
Pm2 0.0575 0.1851 0.3041
Tm1 0.0000 0.0000 0.5000

Calculated values
Uncorrected energy ... -279.6 eV/cell



Entry 18:
A plane-wave DFT calculation with PBE was carried out for an optimized crystal structure of La7Pm3Tm.

a b c (Å): 13.010 11.537 6.072
angles (deg): 90.00 117.69 90.00
Space group C2/m (No. 12)
One atom of each set of equivalent atoms:
La1 0.000 0.000 0.000
La2 0.195 0.291 0.695
La3 0.212 0.500 0.212
Pm1 0.000 0.293 0.000
Pm2 0.000 0.500 0.500
Tm1 0.000 0.000 0.500

Calculated values
Uncorrected energy ... -101.8 eV/cell